Entry 1:
Density functional theory data (PBE-GGA) for LaB2Rh8 after structural relaxation.

a = 5.256 Å, b = 5.256 Å, c = 7.013 Å
α = 90.00°, β = 90.00°, γ = 90.00°
Positions (direct):
B 0.000 0.500 0.000
B 0.500 0.000 0.000
Rh 0.755 0.245 0.816
Rh 0.245 0.245 0.184
Rh 0.245 0.755 0.816
Rh 0.755 0.245 0.184
Rh 0.245 0.755 0.184
Rh 0.245 0.245 0.816
Rh 0.755 0.755 0.184
Rh 0.755 0.755 0.816
La 0.500 0.500 0.500

Output
- Total magnetization: 0.0 Bohr magnetons per cell
- Energy of formation: 0.2353 eV per atom
- E: -74.506 eV per cell

***

Entry 2:
Density functional theory data (PBE-GGA) for TaTc3Ru after structural relaxation.

a = 4.573 Å, b = 4.573 Å, c = 4.573 Å
α = 90.00°, β = 90.00°, γ = 90.00°
Positions (direct):
Ta 0.500 0.500 0.500
Tc 0.000 0.500 0.000
Tc 0.000 0.000 0.500
Tc 0.500 0.000 0.000
Ru 0.000 0.000 0.000

Output
- Relative energy among the computed polymorphs: 0.000 eV per atom
- Total magnetization: 0.0 Bohr magnetons per cell
- Energy of formation: 1.6269 eV per atom
- E: -44.092 eV per cell

***

Which of these has the lowest E?
LaB2Rh8